(1)
VASP calculation (SCAN) on a crystal of Hf2TlRe relaxed with PBEsol.

abc: 4.7525 4.7525 4.7525
angles: 60.00 60.00 60.00
With the nearest neighbours (Å) after each atom.
Sites, in units of the cell vectors:
Hf  0.7500  0.7500  0.7500  4 Re 2.91, 4 Tl 2.91
Hf  0.2500  0.2500  0.2500  4 Tl 2.91, 4 Re 2.91
Re  0.0000  0.0000  0.0000  8 Hf 2.91
Tl  0.5000  0.5000  0.5000  8 Hf 2.91

Summary:
Formation energy from the elements ... -0.082 eV per atom
Calculated density ... 16.4 Mg/m³

***

(2)
VASP calculation (SCAN) on a crystal of HfRe3W relaxed with PBEsol.

abc: 4.6013 4.6013 4.6013
angles: 90.00 90.00 90.00
With the nearest neighbours (Å) after each atom.
Sites, in units of the cell vectors:
Re  0.5000  0.0000  0.0000  2 Hf 2.30
Re  0.0000  0.5000  0.0000  2 Hf 2.30
Re  0.0000  0.0000  0.5000  2 Hf 2.30
Hf  0.0000  0.0000  0.0000  6 Re 2.30
W  0.5000  0.5000  0.5000  12 Re 3.25

Summary:
Formation energy from the elements ... 2.815 eV per atom
Calculated density ... 15.7 Mg/m³

***

Number 2 is which compound? HfRe3W

***

Copy entry 2 word for word.
VASP calculation (SCAN) on a crystal of HfRe3W relaxed with PBEsol.

abc: 4.6013 4.6013 4.6013
angles: 90.00 90.00 90.00
With the nearest neighbours (Å) after each atom.
Sites, in units of the cell vectors:
Re  0.5000  0.0000  0.0000  2 Hf 2.30
Re  0.0000  0.5000  0.0000  2 Hf 2.30
Re  0.0000  0.0000  0.5000  2 Hf 2.30
Hf  0.0000  0.0000  0.0000  6 Re 2.30
W  0.5000  0.5000  0.5000  12 Re 3.25

Summary:
Formation energy from the elements ... 2.815 eV per atom
Calculated density ... 15.7 Mg/m³

***

Copy entry 2 word for word.
VASP calculation (SCAN) on a crystal of HfRe3W relaxed with PBEsol.

abc: 4.6013 4.6013 4.6013
angles: 90.00 90.00 90.00
With the nearest neighbours (Å) after each atom.
Sites, in units of the cell vectors:
Re  0.5000  0.0000  0.0000  2 Hf 2.30
Re  0.0000  0.5000  0.0000  2 Hf 2.30
Re  0.0000  0.0000  0.5000  2 Hf 2.30
Hf  0.0000  0.0000  0.0000  6 Re 2.30
W  0.5000  0.5000  0.5000  12 Re 3.25

Summary:
Formation energy from the elements ... 2.815 eV per atom
Calculated density ... 15.7 Mg/m³